Entry 1:
Zn2SbN3, relaxed, DFT GGA-PBEsol; Fermi-level density of states = 0.2 states/eV/cell; space-group type = Cmc2_1, No. 36; E = -5.5117 eV/atom
1.0
4.986 -2.870 0.000
4.986 2.870 0.000
0.000 0.000 5.400
Zn Sb N
4 2 6
Cartesian
1.715 0.938 0.000
1.715 -0.938 2.700
8.256 0.938 0.000
8.256 -0.938 2.700
4.986 1.029 0.058
4.986 -1.029 2.758
6.641 -1.916 3.381
3.331 1.916 0.681
6.641 1.916 0.681
4.986 0.920 3.405
4.986 -0.920 0.705
3.331 -1.916 3.381


Entry 2:
LaCu2Pt, relaxed, DFT GGA-PBEsol; calculated formation energy = -315 meV/atom; Fermi-level density of states = 1.5 states/eV/cell; space-group type = I4/mmm, No. 139; E = -5.5600 eV/atom
1.0
-2.076 2.076 4.003
2.076 -2.076 4.003
2.076 2.076 -4.003
La Cu Pt
1 2 1
Cartesian
0.000 0.000 0.000
2.076 0.000 2.002
0.000 2.076 2.002
0.000 0.000 4.003


Entry 3:
LaZn4Ni, relaxed, DFT GGA-PBEsol; calculated formation energy = -338 meV/atom; Fermi-level density of states = 3.2 states/eV/cell; space-group type = P-6m2, No. 187; E = -3.3101 eV/atom
1.0
5.234 0.000 0.000
-2.617 4.532 0.000
0.000 0.000 4.176
La Zn Ni
1 4 1
Cartesian
0.000 0.000 0.000
0.000 3.022 0.000
2.617 0.037 2.088
1.340 2.248 2.088
3.893 2.248 2.088
2.617 1.511 0.000


Entry 4:
BaSnPbW2, relaxed, DFT GGA-PBEsol; calculated formation energy = 3045 meV/atom; Fermi-level density of states = 6.5 states/eV/cell; space-group type = P4/mmm, No. 123; E = -4.5597 eV/atom
1.0
5.115 0.000 0.000
0.000 5.115 0.000
0.000 0.000 5.832
Ba Sn Pb W
1 1 1 2
Cartesian
0.000 0.000 0.000
2.557 2.557 2.916
0.000 0.000 2.916
0.000 2.557 0.000
2.557 0.000 0.000